(1)
This record from Alexandria describes crystalline Cs2ScRuO6 at its relaxed geometry. The functional is GGA-PBE.

Cell lengths 6.549, 6.549, 5.380 Å; angles 90.00, 90.00, 120.00 degrees
Sites, in units of the cell vectors:
Cs 0.333 0.667 0.300
Cs 0.667 0.333 0.700
Sc 0.000 0.000 0.000
Ru 0.000 0.000 0.500
O 0.133 0.267 0.721
O 0.133 0.867 0.721
O 0.267 0.133 0.279
O 0.733 0.867 0.721
O 0.867 0.133 0.279
O 0.867 0.733 0.279

Properties
Formation energy (no corrections) ... -1.606 eV/atom
E_tot ... -63.12 eV/f.u.
Crystal system ... trigonal

***

(2)
This record from Alexandria describes crystalline CsScRu2O8 at its relaxed geometry. The functional is GGA-PBE.

Cell lengths 5.559, 5.559, 8.793 Å; angles 93.74, 93.74, 63.89 degrees
Sites, in units of the cell vectors:
Cs 0.000 0.000 0.000
Sc 0.000 0.000 0.500
Ru 0.369 0.369 0.699
Ru 0.631 0.631 0.301
O 0.218 0.218 0.561
O 0.223 0.725 0.670
O 0.275 0.777 0.330
O 0.319 0.319 0.887
O 0.681 0.681 0.113
O 0.725 0.223 0.670
O 0.777 0.275 0.330
O 0.782 0.782 0.439

Properties
Formation energy (no corrections) ... -1.470 eV/atom
E_tot ... -83.04 eV/f.u.
Crystal system ... monoclinic

***

(3)
This record from Alexandria describes crystalline Cs2RuSeO at its relaxed geometry. The functional is GGA-PBE.

Cell lengths 7.024, 7.024, 3.897 Å; angles 90.00, 90.00, 90.00 degrees
Sites, in units of the cell vectors:
Cs 0.000 0.500 0.000
Cs 0.500 0.000 0.000
Ru 0.000 0.000 0.500
Se 0.500 0.500 0.000
O 0.500 0.500 0.500

Properties
Formation energy (no corrections) ... 0.538 eV/atom
E_tot ... -16.73 eV/f.u.
Crystal system ... tetragonal

***

(4)
This record from Alexandria describes crystalline Cs3Sm3RuO8 at its relaxed geometry. The functional is GGA-PBE.

Cell lengths 8.035, 8.035, 8.035 Å; angles 51.89, 51.89, 51.89 degrees
Sites, in units of the cell vectors:
Cs 0.000 0.500 0.500
Cs 0.500 0.000 0.500
Cs 0.500 0.500 0.000
Sm 0.000 0.000 0.500
Sm 0.000 0.500 0.000
Sm 0.500 0.000 0.000
Ru 0.500 0.500 0.500
O 0.222 0.222 0.222
O 0.251 0.702 0.702
O 0.298 0.298 0.749
O 0.298 0.749 0.298
O 0.702 0.251 0.702
O 0.702 0.702 0.251
O 0.749 0.298 0.298
O 0.778 0.778 0.778

Properties
Formation energy (no corrections) ... -2.199 eV/atom
E_tot ... -98.64 eV/f.u.
Crystal system ... trigonal

***

(5)
This record from Alexandria describes crystalline Cs2Sr2RuO6 at its relaxed geometry. The functional is GGA-PBE.

Cell lengths 6.081, 6.081, 7.109 Å; angles 97.46, 97.46, 118.82 degrees
Sites, in units of the cell vectors:
Cs 0.166 0.834 0.000
Cs 0.834 0.166 0.000
Sr 0.337 0.663 0.500
Sr 0.663 0.337 0.500
Ru 0.000 0.000 0.500
O 0.046 0.319 0.659
O 0.214 0.214 0.333
O 0.319 0.046 0.659
O 0.681 0.954 0.341
O 0.786 0.786 0.667
O 0.954 0.681 0.341

Properties
Formation energy (no corrections) ... -1.713 eV/atom
E_tot ... -62.93 eV/f.u.
Crystal system ... monoclinic

***

(6)
This record from Alexandria describes crystalline Cs3Sr3RuO8 at its relaxed geometry. The functional is GGA-PBE.

Cell lengths 8.061, 8.061, 8.061 Å; angles 53.91, 53.91, 53.91 degrees
Sites, in units of the cell vectors:
Cs 0.000 0.500 0.500
Cs 0.500 0.000 0.500
Cs 0.500 0.500 0.000
Sr 0.000 0.000 0.500
Sr 0.000 0.500 0.000
Sr 0.500 0.000 0.000
Ru 0.500 0.500 0.500
O 0.225 0.225 0.225
O 0.296 0.681 0.681
O 0.319 0.319 0.704
O 0.319 0.704 0.319
O 0.681 0.296 0.681
O 0.681 0.681 0.296
O 0.704 0.319 0.319
O 0.775 0.775 0.775

Properties
Formation energy (no corrections) ... -1.723 eV/atom
E_tot ... -82.40 eV/f.u.
Crystal system ... trigonal

***

(7)
This record from Alexandria describes crystalline Cs2SrRuO4 at its relaxed geometry. The functional is GGA-PBE.

Cell lengths 14.046, 12.519, 7.870 Å; angles 83.77, 62.38, 33.85 degrees
Sites, in units of the cell vectors:
Cs 0.061 0.061 0.689
Cs 0.311 0.311 0.939
Cs 0.689 0.689 0.061
Cs 0.939 0.939 0.311
Sr 0.125 0.125 0.125
Sr 0.875 0.875 0.875
Ru 0.375 0.375 0.375
Ru 0.625 0.625 0.625
O 0.070 0.673 0.491
O 0.266 0.491 0.673
O 0.327 0.930 0.734
O 0.491 0.266 0.070
O 0.509 0.734 0.930
O 0.673 0.070 0.266
O 0.734 0.509 0.327
O 0.930 0.327 0.509

Properties
Formation energy (no corrections) ... -1.305 eV/atom
E_tot ... -42.94 eV/f.u.
Crystal system ... orthorhombic

***

(8)
This record from Alexandria describes crystalline CsTaRuO2 at its relaxed geometry. The functional is GGA-PBE.

Cell lengths 4.186, 4.186, 4.871 Å; angles 90.00, 90.00, 90.00 degrees
Sites, in units of the cell vectors:
Cs 0.000 0.000 0.000
Ta 0.500 0.500 0.000
Ru 0.500 0.500 0.500
O 0.000 0.500 0.500
O 0.500 0.000 0.500

Properties
Formation energy (no corrections) ... 0.550 eV/atom
E_tot ... -29.15 eV/f.u.
Crystal system ... tetragonal

***

(9)
This record from Alexandria describes crystalline CsTbRuO6 at its relaxed geometry. The functional is GGA-PBE.

Cell lengths 5.694, 5.694, 6.474 Å; angles 90.00, 90.00, 120.00 degrees
Sites, in units of the cell vectors:
Cs 0.000 0.000 0.000
Tb 0.333 0.667 0.500
Ru 0.667 0.333 0.500
O 0.420 0.048 0.672
O 0.420 0.372 0.328
O 0.628 0.048 0.328
O 0.628 0.580 0.672
O 0.952 0.372 0.672
O 0.952 0.580 0.328

Properties
Formation energy (no corrections) ... -1.520 eV/atom
E_tot ... -58.19 eV/f.u.
Crystal system ... trigonal

***

(10)
This record from Alexandria describes crystalline CsTb2RuO8 at its relaxed geometry. The functional is GGA-PBE.

Cell lengths 4.693, 4.725, 7.930 Å; angles 95.75, 96.12, 95.96 degrees
Sites, in units of the cell vectors:
Cs 0.000 0.000 0.000
Tb 0.445 0.447 0.716
Tb 0.555 0.553 0.284
Ru 0.000 0.000 0.500
O 0.088 0.713 0.327
O 0.279 0.276 0.435
O 0.287 0.912 0.675
O 0.391 0.605 0.000
O 0.609 0.395 0.000
O 0.713 0.088 0.325
O 0.721 0.724 0.565
O 0.912 0.287 0.673

Properties
Formation energy (no corrections) ... -1.843 eV/atom
E_tot ... -81.18 eV/f.u.
Crystal system ... triclinic

***

(11)
This record from Alexandria describes crystalline CsTc2RuO8 at its relaxed geometry. The functional is GGA-PBE.

Cell lengths 5.482, 5.482, 8.746 Å; angles 90.00, 90.00, 120.00 degrees
Sites, in units of the cell vectors:
Cs 0.000 0.000 0.000
Tc 0.333 0.667 0.700
Tc 0.667 0.333 0.300
Ru 0.000 0.000 0.500
O 0.067 0.324 0.635
O 0.257 0.933 0.635
O 0.324 0.257 0.365
O 0.333 0.667 0.901
O 0.667 0.333 0.099
O 0.676 0.743 0.635
O 0.743 0.067 0.365
O 0.933 0.676 0.365

Properties
Formation energy (no corrections) ... -1.372 eV/atom
E_tot ... -86.99 eV/f.u.
Crystal system ... trigonal

***

(12)
This record from Alexandria describes crystalline CsTcRuO6 at its relaxed geometry. The functional is GGA-PBE.

Cell lengths 5.342, 5.342, 6.575 Å; angles 90.00, 90.00, 120.00 degrees
Sites, in units of the cell vectors:
Cs 0.000 0.000 0.000
Tc 0.333 0.667 0.500
Ru 0.667 0.333 0.500
O 0.005 0.401 0.661
O 0.005 0.604 0.339
O 0.396 0.401 0.339
O 0.396 0.995 0.661
O 0.599 0.604 0.661
O 0.599 0.995 0.339

Properties
Formation energy (no corrections) ... -1.265 eV/atom
E_tot ... -61.63 eV/f.u.
Crystal system ... trigonal

***

> Look up the E_tot of the twelfth one.

-61.63 eV/f.u.

***

> Among the records above, which one has the lowest E_tot?

Cs3Sm3RuO8

***

> formation energy (no corrections) of number 10 (CsTb2RuO8)?

-1.843 eV/atom

***

> Among the records above, which one has the highest E_tot?

Cs2RuSeO